Here is crystalline Ce2ScBr6 at its relaxed geometry from Alexandria. Energies are from PBE.

```
Ce2ScBr6
1.0
-1.2740 -0.3266 3.7488
3.0854 -6.5536 2.5826
8.5735 3.8671 5.3556
Br Sc Ce
6 1 2
Direct
0.0047 0.2163 0.7744 Br
0.7921 0.2957 0.1202 Br
0.6565 0.2218 0.4653 Br
0.2079 0.7043 0.8798 Br
0.3435 0.7782 0.5347 Br
0.9953 0.7837 0.2256 Br
0.0000 0.0000 0.0000 Sc
0.3220 0.0646 0.2914 Ce
0.6780 0.9354 0.7086 Ce
```

=====

LaDy6Er3, optimized geometry, DFT PBE; energy of formation from the pure elements = 151 meV per atom; E above lowest polymorph = 0.000 eV/atom
1.0
-5.5374 0.0059 -2.8794
-4.7245 -4.0676 9.0775
0.9071 10.8387 -1.7224
Dy Er La
12 6 2
Direct
0.6392 0.3119 0.6881 Dy
0.5033 0.2863 0.3733 Dy
0.3588 0.5627 0.9843 Dy
0.8588 0.9843 0.5627 Dy
0.5033 0.6267 0.7137 Dy
0.4110 0.9511 0.0489 Dy
0.1392 0.6881 0.3119 Dy
0.8588 0.4373 0.0157 Dy
0.9110 0.0489 0.9511 Dy
0.0033 0.3733 0.2863 Dy
0.0033 0.7137 0.6267 Dy
0.3588 0.0157 0.4373 Dy
0.9505 0.0771 0.2921 Er
0.1054 0.3862 0.6138 Er
0.9505 0.7079 0.9229 Er
0.4505 0.2921 0.0771 Er
0.6054 0.6138 0.3862 Er
0.4505 0.9229 0.7079 Er
0.2047 0.2113 0.7887 La
0.7047 0.7887 0.2113 La

=====

Mg2CrAu, optimized geometry, DFT PBE; energy of formation from the pure elements = 152 meV per atom
1.0
9.4392 -0.0822 -0.0482
8.9676 2.9476 -0.0482
8.9676 1.3960 2.5965
Cr Au Mg
1 1 2
Direct
0.7500 0.7500 0.7500 Cr
0.2500 0.2500 0.2500 Au
0.9978 0.9978 0.9978 Mg
0.5022 0.5022 0.5022 Mg

=====

no.,DFT total energy (eV per atom),mass density (g/cm³)
1,-4.714,4.297
2,-4.472,8.347
3,-3.871,6.545